BaH2Ru | PBE | relaxed

Lattice parameters (Å, degrees): 6.2013 6.2013 6.2013 90.00 90.00 90.00
Last column: nearest neighbours and their distance in Å.
Space group Fm-3m (No. 225)
Symmetry-distinct sites (fractional):
Ba 0.0000 0.0000 0.0000  8 H 2.69
H 0.2500 0.2500 0.2500  4 Ru 2.69, 4 Ba 2.69
Ru 0.0000 0.0000 0.5000  8 H 2.69

Results
VASP energy: -3.6776 eV per atom
Energy above the most stable polymorph in this dataset: 724.8 meV per atom
Volume: 238 Å³/cell
Magnetic moment: 0.00 μB/f.u.

Er6OsPb | PBE | relaxed

Lattice parameters (Å, degrees): 6.7957 6.7999 7.6191 90.06 116.44 119.98
Last column: nearest neighbours and their distance in Å.
Space group P-1 (No. 2)
Symmetry-distinct sites (fractional):
Er 0.0454 0.0831 0.2607  1 Os 2.67
Er 0.2988 0.7155 0.2608  1 Os 2.67
Er 0.3216 0.5374 0.7391  1 Os 2.67
Os 0.5000 0.5000 0.5000  6 Er 2.67
Pb 0.5000 0.0000 0.0000  6 Er 3.06

Results
VASP energy: -5.3100 eV per atom
Formation energy from the elements: -20.6 meV/atom
Volume: 261 Å³/cell
Magnetic moment: 0.00 μB/f.u.

TaGe2Te8 | PBE | relaxed

Lattice parameters (Å, degrees): 11.1633 11.1887 6.2842 90.00 91.77 90.00
Last column: nearest neighbours and their distance in Å.
Space group C2/m (No. 12)
Symmetry-distinct sites (fractional):
Ta 0.0000 0.0000 0.0000  6 Te 2.74-2.83
Ge 0.2174 0.0000 0.4628  4 Te 2.66-2.72
Te 0.0659 0.5000 0.7019  1 Ge 2.66, 1 Te 2.89
Te 0.0732 0.1760 0.3008  1 Ge 2.72, 1 Ta 2.83, 1 Te 3.03
Te 0.2354 0.0000 0.8910  1 Ge 2.69, 1 Ta 2.74

Results
VASP energy: -4.2348 eV per atom
Uncorrected formation energy: -0.033 eV per atom
Volume: 785 Å³/cell
Magnetic moment: 0.00 μB/f.u.

LiBeMo3 | PBE | relaxed

Lattice parameters (Å, degrees): 4.1682 4.1682 4.1682 90.00 90.00 90.00
Last column: nearest neighbours and their distance in Å.
Space group Pm-3m (No. 221)
Symmetry-distinct sites (fractional):
Li 0.0000 0.0000 0.0000  6 Mo 2.08
Be 0.5000 0.5000 0.5000  12 Mo 2.95
Mo 0.0000 0.0000 0.5000  2 Li 2.08

Results
VASP energy: -6.2060 eV per atom
Formation energy from the elements: 1420.7 meV/atom
Energy above the most stable polymorph in this dataset: 486.4 meV per atom
Volume: 72 Å³/cell
Magnetic moment: 0.00 μB/f.u.

Na3Tl2Hg4Au2 | PBE | relaxed

Lattice parameters (Å, degrees): 5.1037 5.1037 12.5307 90.00 90.00 120.00
Last column: nearest neighbours and their distance in Å.
Space group P-3m1 (No. 164)
Symmetry-distinct sites (fractional):
Na 0.0000 0.0000 0.0000  2 Na 3.11, 6 Hg 3.30, 6 Au 3.32
Na 0.0000 0.0000 0.2486  1 Na 3.11, 6 Hg 3.20-3.37, 3 Au 3.35
Tl 0.3333 0.6667 0.5957  4 Hg 3.03-3.09
Hg 0.3333 0.6667 0.3492  1 Au 2.84, 4 Tl 3.03-3.09
Hg 0.3333 0.6667 0.8821  4 Au 2.95-3.01, 3 Na 3.30
Au 0.3333 0.6667 0.1221  5 Hg 2.84-3.01

Results
VASP energy: -1.6795 eV per atom
Formation energy from the elements: -183.9 meV/atom
Volume: 283 Å³/cell
Magnetic moment: 0.00 μB/f.u.

LiYTh2 | PBE | relaxed

Lattice parameters (Å, degrees): 3.4937 3.4937 34.5700 90.00 90.00 120.00
Last column: nearest neighbours and their distance in Å.
Space group R3m (No. 160, hexagonal axes)
Symmetry-distinct sites (fractional):
Li 0.0000 0.0000 0.0000  6 Th 3.45-3.46, 6 Li 3.49
Y 0.0000 0.0000 0.1672  6 Y 3.49, 6 Th 3.57-3.58
Th 0.0000 0.0000 0.4148  3 Li 3.46, 6 Th 3.49, 3 Y 3.58
Th 0.0000 0.0000 0.5856  3 Li 3.45, 6 Th 3.49, 3 Y 3.57

Results
VASP energy: -5.6561 eV per atom
Formation energy from the elements: 148.3 meV/atom
Energy above the most stable polymorph in this dataset: 0.0 meV per atom
Volume: 365 Å³/cell
Magnetic moment: 0.00 μB/f.u.

TbAgPdAu | PBE | relaxed

Lattice parameters (Å, degrees): 6.8317 6.8317 6.8317 90.00 90.00 90.00
Last column: nearest neighbours and their distance in Å.
Space group F-43m (No. 216)
Symmetry-distinct sites (fractional):
Tb 0.0000 0.0000 0.0000  4 Au 2.96, 4 Pd 2.96
Ag 0.0000 0.0000 0.5000  4 Pd 2.96, 4 Au 2.96
Pd 0.2500 0.2500 0.7500  4 Tb 2.96, 4 Ag 2.96
Au 0.2500 0.2500 0.2500  4 Ag 2.96, 4 Tb 2.96

Results
VASP energy: -4.5860 eV per atom
Formation energy from the elements: -598.1 meV/atom
Volume: 319 Å³/cell
Magnetic moment: 0.00 μB/f.u.

SmDy3Rh | PBE | relaxed

Lattice parameters (Å, degrees): 5.4169 5.4169 5.4169 90.00 90.00 90.00
Last column: nearest neighbours and their distance in Å.
Space group Pm-3m (No. 221)
Symmetry-distinct sites (fractional):
Sm 0.0000 0.0000 0.0000  12 Dy 3.83
Dy 0.0000 0.5000 0.5000  2 Rh 2.71
Rh 0.5000 0.5000 0.5000  6 Dy 2.71

Results
VASP energy: -5.4103 eV per atom
Formation energy from the elements: -234.9 meV/atom
Energy above the most stable polymorph in this dataset: 56.9 meV per atom
Volume: 159 Å³/cell
Magnetic moment: 0.45 μB/f.u.